No. 1
Crystalline TaRhAu at its relaxed geometry, computed with PBE.

Cell: 2.923 2.911 7.654 Å, 89.97 67.58 59.82°
Fractional coordinates of all 3 atoms:
Ta 0.036 0.335 0.619
Au 0.829 0.434 0.276
Rh 0.963 0.872 0.924

Offset from the most stable computed form (kJ/mol of formula units): 67
Formation enthalpy at 0 K (meV per atom): -124
Electronic total energy (eV/cell): -22.85
D(E_F) (states/eV/f.u.): 3.13

=====

No. 2
Crystalline Ta2Rh2Au at its relaxed geometry, computed with PBE.

Cell: 7.552 7.552 2.956 Å, 90.00 90.00 90.00°
Fractional coordinates of all 10 atoms:
Au 0.500 0.500 0.000
Au 0.000 0.000 0.000
Ta 0.166 0.666 0.500
Ta 0.334 0.166 0.500
Ta 0.666 0.834 0.500
Ta 0.834 0.334 0.500
Rh 0.869 0.631 0.000
Rh 0.369 0.869 0.000
Rh 0.631 0.131 0.000
Rh 0.131 0.369 0.000

Offset from the most stable computed form (kJ/mol of formula units): 0
Formation enthalpy at 0 K (meV per atom): -335
Electronic total energy (eV/cell): -86.72
D(E_F) (states/eV/f.u.): 3.69

=====

No. 3
Crystalline Ta2Rh2Au at its relaxed geometry, computed with PBE.

Cell: 4.429 4.950 4.950 Å, 68.91 63.43 63.43°
Fractional coordinates of all 5 atoms:
Ta 0.806 0.694 0.694
Ta 0.194 0.306 0.306
Rh 0.500 0.723 0.277
Rh 0.500 0.277 0.723
Au 0.000 0.000 0.000

Offset from the most stable computed form (kJ/mol of formula units): 79
Formation enthalpy at 0 K (meV per atom): -171
Electronic total energy (eV/cell): -42.54
D(E_F) (states/eV/f.u.): 2.88

=====

No. 4
Crystalline Ta2Rh2Au at its relaxed geometry, computed with PBE.

Cell: 7.790 7.790 2.855 Å, 90.00 90.00 90.00°
Fractional coordinates of all 10 atoms:
Rh 0.860 0.360 0.500
Rh 0.140 0.640 0.500
Rh 0.640 0.860 0.500
Rh 0.360 0.140 0.500
Ta 0.151 0.349 0.000
Ta 0.849 0.651 0.000
Ta 0.349 0.849 0.000
Ta 0.651 0.151 0.000
Au 0.000 0.000 0.000
Au 0.500 0.500 0.000

Offset from the most stable computed form (kJ/mol of formula units): 73
Formation enthalpy at 0 K (meV per atom): -184
Electronic total energy (eV/cell): -85.22
D(E_F) (states/eV/f.u.): 3.20

=====

No. 5
Crystalline TaRhAu at its relaxed geometry, computed with PBE.

Cell: 4.476 4.476 2.887 Å, 90.00 90.00 120.00°
Fractional coordinates of all 3 atoms:
Rh 0.333 0.667 0.431
Ta 0.667 0.333 0.572
Au 0.000 0.000 0.997

Offset from the most stable computed form (kJ/mol of formula units): 46
Formation enthalpy at 0 K (meV per atom): -199
Electronic total energy (eV/cell): -23.08
D(E_F) (states/eV/f.u.): 1.21

=====

No. 6
Crystalline TaRhAu at its relaxed geometry, computed with PBE.

Cell: 6.133 6.133 6.133 Å, 152.17 152.17 39.76°
Fractional coordinates of all 3 atoms:
Ta 0.676 0.676 0.000
Rh 0.323 0.323 0.000
Au 0.000 0.000 0.000

Offset from the most stable computed form (kJ/mol of formula units): 35
Formation enthalpy at 0 K (meV per atom): -234
Electronic total energy (eV/cell): -23.18
D(E_F) (states/eV/f.u.): 2.18

=====

No. 7
Crystalline TaTiRhAu at its relaxed geometry, computed with PBE.

Cell: 3.274 3.274 6.216 Å, 90.00 90.00 90.00°
Fractional coordinates of all 4 atoms:
Rh 0.500 0.500 0.629
Ti 0.500 0.500 0.115
Ta 0.000 0.000 0.838
Au 0.000 0.000 0.346

Formation enthalpy at 0 K (meV per atom): -435
Electronic total energy (eV/cell): -32.12
D(E_F) (states/eV/f.u.): 2.58

=====

No. 8
Crystalline TaZnRhAu at its relaxed geometry, computed with PBE.

Cell: 4.505 4.505 4.505 Å, 60.00 60.00 60.00°
Fractional coordinates of all 4 atoms:
Rh 0.750 0.750 0.750
Au 0.250 0.250 0.250
Zn 0.000 0.000 0.000
Ta 0.500 0.500 0.500

Offset from the most stable computed form (kJ/mol of formula units): 62
Formation enthalpy at 0 K (meV per atom): -168
Electronic total energy (eV/cell): -24.43
D(E_F) (states/eV/f.u.): 3.63

=====

No. 9
Crystalline TaZnRhAu at its relaxed geometry, computed with PBE.

Cell: 2.947 2.947 7.326 Å, 90.00 90.00 90.00°
Fractional coordinates of all 4 atoms:
Ta 0.500 0.500 0.803
Au 0.000 0.000 0.085
Rh 0.000 0.000 0.559
Zn 0.500 0.500 0.337

Offset from the most stable computed form (kJ/mol of formula units): 0
Formation enthalpy at 0 K (meV per atom): -330
Electronic total energy (eV/cell): -25.07
D(E_F) (states/eV/f.u.): 3.36

=====

No. 10
Crystalline Tb6Rh3Au at its relaxed geometry, computed with PBE.

Cell: 4.067 11.552 11.707 Å, 108.61 90.00 90.00°
Fractional coordinates of all 20 atoms:
Tb 0.250 0.614 0.969
Tb 0.250 0.877 0.550
Tb 0.750 0.710 0.271
Tb 0.250 0.544 0.407
Tb 0.250 0.243 0.219
Tb 0.750 0.456 0.593
Tb 0.250 0.059 0.890
Tb 0.250 0.290 0.729
Tb 0.750 0.386 0.031
Tb 0.750 0.941 0.110
Tb 0.750 0.123 0.450
Tb 0.750 0.757 0.781
Rh 0.250 0.301 0.479
Rh 0.750 0.699 0.521
Rh 0.750 0.470 0.828
Rh 0.250 0.843 0.942
Rh 0.750 0.157 0.058
Rh 0.250 0.530 0.172
Au 0.250 0.927 0.306
Au 0.750 0.073 0.694

Offset from the most stable computed form (kJ/mol of formula units): 0
Formation enthalpy at 0 K (meV per atom): -682
Electronic total energy (eV/cell): -119.86
D(E_F) (states/eV/f.u.): 6.17